(a)
Computed, not measured: an optimized crystal structure of Hg2Br2F at the PBE level of DFT. Values from VASP.

```
&SYSTEM
  ibrav = 0, nat = 10, ntyp = 3
/
ATOMIC_SPECIES
Hg 200.59 Hg.upf
Br 79.90 Br.upf
F 19.00 F.upf
CELL_PARAMETERS angstrom
6.477 0.000 0.000
-2.835 5.852 0.000
-0.209 -1.303 8.301
ATOMIC_POSITIONS angstrom
Hg 0.000 0.000 0.000
Hg -1.773 3.526 3.910
Hg 1.669 1.676 5.441
Hg 3.842 -0.334 8.098
Br -0.366 0.548 4.552
Br -0.733 4.557 0.651
Br 0.297 4.543 4.873
Br 2.893 2.452 2.575
F 1.896 0.534 7.626
F 3.336 2.836 6.033
```

Its space-group type is P1. The value obtained for the density of states at the Fermi level is 0.0000 states/eV/atom.

(b)
Computed, not measured: an optimized crystal structure of Hg2Br2F at the PBE level of DFT. Values from VASP.

```
&SYSTEM
  ibrav = 0, nat = 10, ntyp = 3
/
ATOMIC_SPECIES
Hg 200.59 Hg.upf
Br 79.90 Br.upf
F 19.00 F.upf
CELL_PARAMETERS angstrom
7.021 0.000 0.000
-0.943 7.087 0.000
-1.552 -3.192 6.616
ATOMIC_POSITIONS angstrom
Hg 0.000 0.000 0.000
Hg -1.098 1.804 3.281
Hg 2.052 -1.950 4.590
Hg 2.421 0.124 6.131
Br -1.374 0.991 5.637
Br 1.257 0.231 2.186
Br 3.705 5.575 0.691
Br 4.237 4.374 4.144
F 0.658 3.455 3.392
F 5.491 1.963 1.192
```

Its space-group type is P1. The value obtained for the density of states at the Fermi level is 0.0000 states/eV/atom.

Least stable structure: (b)

(a)
Computed, not measured: an optimized crystal structure of Hg3BrF at the PBE level of DFT. Values from VASP.

```
&SYSTEM
  ibrav = 0, nat = 5, ntyp = 3
/
ATOMIC_SPECIES
Hg 200.59 Hg.upf
Br 79.90 Br.upf
F 19.00 F.upf
CELL_PARAMETERS angstrom
5.808 0.000 0.000
0.000 5.808 0.000
0.000 0.000 5.808
ATOMIC_POSITIONS angstrom
Hg 0.000 0.000 2.904
Hg 0.000 2.904 0.000
Hg 2.904 0.000 0.000
Br 0.000 0.000 0.000
F 2.904 2.904 2.904
```

Its space-group type is Pm-3m. The value obtained for the density of states at the Fermi level is 0.7347 states/eV/atom.

(b)
Computed, not measured: an optimized crystal structure of Hg3BrF at the PBE level of DFT. Values from VASP.

```
&SYSTEM
  ibrav = 0, nat = 5, ntyp = 3
/
ATOMIC_SPECIES
Hg 200.59 Hg.upf
Br 79.90 Br.upf
F 19.00 F.upf
CELL_PARAMETERS angstrom
5.169 0.000 0.000
0.000 5.169 0.000
0.000 0.000 5.169
ATOMIC_POSITIONS angstrom
Hg 0.000 0.000 2.584
Hg 0.000 2.584 0.000
Hg 2.584 0.000 0.000
Br 2.584 2.584 2.584
F 0.000 0.000 0.000
```

Its space-group type is Pm-3m. The value obtained for the density of states at the Fermi level is 2.1515 states/eV/atom.

(c)
Computed, not measured: an optimized crystal structure of Hg3BrF at the PBE level of DFT. Values from VASP.

```
&SYSTEM
  ibrav = 0, nat = 10, ntyp = 3
/
ATOMIC_SPECIES
Hg 200.59 Hg.upf
Br 79.90 Br.upf
F 19.00 F.upf
CELL_PARAMETERS angstrom
5.344 0.000 0.000
0.000 8.588 0.000
0.000 0.000 6.884
ATOMIC_POSITIONS angstrom
Hg 0.000 0.000 0.000
Hg 0.000 2.455 5.791
Hg 0.000 6.132 5.791
Hg 2.672 1.839 2.349
Hg 2.672 4.294 3.442
Hg 2.672 6.749 2.349
Br 0.000 0.000 2.850
Br 2.672 4.294 6.292
F 0.000 4.294 4.320
F 2.672 0.000 0.878
```

Its space-group type is Imm2.

Least stable structure: (a)

(a)
Computed, not measured: an optimized crystal structure of Hg2Br3F at the PBE level of DFT. Values from VASP.

```
&SYSTEM
  ibrav = 0, nat = 12, ntyp = 3
/
ATOMIC_SPECIES
Hg 200.59 Hg.upf
Br 79.90 Br.upf
F 19.00 F.upf
CELL_PARAMETERS angstrom
8.073 -2.263 0.000
8.073 2.263 0.000
-6.368 0.000 11.514
ATOMIC_POSITIONS angstrom
Hg 1.184 0.000 4.108
Hg -1.310 0.000 10.035
Hg 11.089 0.000 1.479
Hg 8.595 0.000 7.406
Br -3.749 0.000 10.541
Br -0.858 0.000 5.553
Br 1.146 0.000 9.466
Br 8.633 0.000 2.049
Br 10.636 0.000 5.962
Br 13.528 0.000 0.973
F 2.962 0.000 2.955
F 6.817 0.000 8.560
```

Its space-group type is C2/m. The value obtained for the density of states at the Fermi level is 0.0000 states/eV/atom.

(b)
Computed, not measured: an optimized crystal structure of Hg2Br3F at the PBE level of DFT. Values from VASP.

```
&SYSTEM
  ibrav = 0, nat = 12, ntyp = 3
/
ATOMIC_SPECIES
Hg 200.59 Hg.upf
Br 79.90 Br.upf
F 19.00 F.upf
CELL_PARAMETERS angstrom
4.149 0.000 0.000
1.941 9.708 0.000
0.346 -0.048 11.008
ATOMIC_POSITIONS angstrom
Hg 1.262 1.644 0.854
Hg 2.401 6.101 7.118
Hg 4.035 3.559 3.890
Hg 5.174 8.017 10.154
Br 1.406 4.464 2.087
Br 3.205 8.115 1.034
Br 2.428 2.872 5.678
Br 4.007 6.789 5.330
Br 3.231 1.546 9.974
Br 5.030 5.196 8.922
F 2.528 8.122 8.677
F 3.907 1.538 2.331
```

Its space-group type is P-1. The value obtained for the density of states at the Fermi level is 0.0000 states/eV/atom.

Least stable structure: (b)

(a)
Computed, not measured: an optimized crystal structure of HgBr3F at the PBE level of DFT. Values from VASP.

```
&SYSTEM
  ibrav = 0, nat = 5, ntyp = 3
/
ATOMIC_SPECIES
Hg 200.59 Hg.upf
Br 79.90 Br.upf
F 19.00 F.upf
CELL_PARAMETERS angstrom
5.464 0.000 0.000
0.000 5.464 0.000
0.000 0.000 5.464
ATOMIC_POSITIONS angstrom
Hg 0.000 0.000 0.000
Br 0.000 0.000 2.732
Br 0.000 2.732 0.000
Br 2.732 0.000 0.000
F 2.732 2.732 2.732
```

Its space-group type is Pm-3m. The value obtained for the density of states at the Fermi level is 2.7669 states/eV/atom.

(b)
Computed, not measured: an optimized crystal structure of HgBr3F at the PBE level of DFT. Values from VASP.

```
&SYSTEM
  ibrav = 0, nat = 5, ntyp = 3
/
ATOMIC_SPECIES
Hg 200.59 Hg.upf
Br 79.90 Br.upf
F 19.00 F.upf
CELL_PARAMETERS angstrom
5.010 0.000 0.000
0.000 5.010 0.000
0.000 0.000 5.010
ATOMIC_POSITIONS angstrom
Hg 0.000 0.000 0.000
Br 0.000 2.505 2.505
Br 2.505 0.000 2.505
Br 2.505 2.505 0.000
F 2.505 2.505 2.505
```

Its space-group type is Pm-3m. The value obtained for the density of states at the Fermi level is 0.9321 states/eV/atom.

Least stable structure: (b)